(1)
The following is a DFT calculation (GGA-PBE) of a geometry-optimized CoSiOsRh2 structure.

The formation energy (no corrections) is 6.14 eV per formula unit. The calculation puts the raw total energy at -32.32 eV per cell.

Geometry as CIF:
```
data_CoSiOsRh2
_chemical_formula_sum 'Co1 Si1 Os1 Rh2'
_space_group_name_H-M_alt 'P 1'
_space_group_IT_number 1
_space_group_name_Hall 'P 1'
_cell_length_a 4.402
_cell_length_b 4.402
_cell_length_c 4.126
_cell_angle_alpha 90.00
_cell_angle_beta 90.00
_cell_angle_gamma 90.00
loop_
_atom_site_label
_atom_site_type_symbol
_atom_site_fract_x
_atom_site_fract_y
_atom_site_fract_z
Co1 Co 0.000 0.000 0.000
Si1 Si 0.000 0.000 0.500
Os1 Os 0.500 0.500 0.500
Rh1 Rh 0.000 0.500 0.000
Rh2 Rh 0.500 0.000 0.000
```


(2)
The following is a DFT calculation (GGA-PBE) of a geometry-optimized TbCeAlTc structure.

For the formation energy, the calculation gives -0.5 eV per formula unit. The calculation puts the raw total energy at -25.17 eV per cell.

Geometry as CIF:
```
data_TbCeAlTc
_chemical_formula_sum 'Tb1 Ce1 Al1 Tc1'
_space_group_name_H-M_alt 'P 1'
_space_group_IT_number 1
_space_group_name_Hall 'P 1'
_cell_length_a 5.008
_cell_length_b 5.008
_cell_length_c 5.008
_cell_angle_alpha 60.00
_cell_angle_beta 60.00
_cell_angle_gamma 60.00
loop_
_atom_site_label
_atom_site_type_symbol
_atom_site_fract_x
_atom_site_fract_y
_atom_site_fract_z
Tb1 Tb 0.000 0.000 0.000
Ce1 Ce 0.500 0.500 0.500
Al1 Al 0.250 0.250 0.250
Tc1 Tc 0.750 0.750 0.750
```


(3)
The following is a DFT calculation (GGA-PBE) of a geometry-optimized Pm7Tl2N structure.

The formation energy (no corrections) is 0.02 eV per formula unit. The calculation puts the raw total energy at -46.29 eV per cell.

Geometry as CIF:
```
data_Pm7Tl2N
_chemical_formula_sum 'Pm7 Tl2 N1'
_space_group_name_H-M_alt 'P 1'
_space_group_IT_number 1
_space_group_name_Hall 'P 1'
_cell_length_a 7.429
_cell_length_b 7.429
_cell_length_c 7.429
_cell_angle_alpha 60.00
_cell_angle_beta 60.00
_cell_angle_gamma 60.00
loop_
_atom_site_label
_atom_site_type_symbol
_atom_site_fract_x
_atom_site_fract_y
_atom_site_fract_z
Pm1 Pm 0.000 0.000 0.000
Pm2 Pm 0.270 0.270 0.730
Pm3 Pm 0.270 0.730 0.270
Pm4 Pm 0.270 0.730 0.730
Pm5 Pm 0.730 0.270 0.270
Pm6 Pm 0.730 0.270 0.730
Pm7 Pm 0.730 0.730 0.270
Tl1 Tl 0.250 0.250 0.250
Tl2 Tl 0.750 0.750 0.750
N1 N 0.500 0.500 0.500
```


(4)
The following is a DFT calculation (GGA-PBE) of a geometry-optimized TbPr2NdEr5 structure.

For the formation energy, the calculation gives 2.3 eV per formula unit. The calculation puts the raw total energy at -78.86 eV per cell.

Geometry as CIF:
```
data_TbPr2NdEr5
_chemical_formula_sum 'Tb2 Pr4 Nd2 Er10'
_space_group_name_H-M_alt 'P 1'
_space_group_IT_number 1
_space_group_name_Hall 'P 1'
_cell_length_a 9.915
_cell_length_b 9.915
_cell_length_c 9.915
_cell_angle_alpha 127.94
_cell_angle_beta 127.94
_cell_angle_gamma 76.73
loop_
_atom_site_label
_atom_site_type_symbol
_atom_site_fract_x
_atom_site_fract_y
_atom_site_fract_z
Tb1 Tb 0.250 0.750 0.500
Tb2 Tb 0.750 0.250 0.500
Pr1 Pr 0.118 0.618 0.735
Pr2 Pr 0.382 0.118 0.500
Pr3 Pr 0.618 0.882 0.500
Pr4 Pr 0.882 0.382 0.265
Nd1 Nd 0.250 0.250 0.000
Nd2 Nd 0.750 0.750 0.000
Er1 Er 0.000 0.000 0.000
Er2 Er 0.072 0.150 0.500
Er3 Er 0.150 0.650 0.078
Er4 Er 0.350 0.428 0.500
Er5 Er 0.428 0.928 0.078
Er6 Er 0.500 0.500 0.000
Er7 Er 0.572 0.072 0.922
Er8 Er 0.650 0.572 0.500
Er9 Er 0.850 0.350 0.922
Er10 Er 0.928 0.850 0.500
```


(5)
The following is a DFT calculation (GGA-PBE) of a geometry-optimized Rb2PdSCl6 structure.

The formation energy (no corrections) is -8.51 eV per formula unit. The calculation puts the raw total energy at -30.85 eV per cell.

Geometry as CIF:
```
data_Rb2PdSCl6
_chemical_formula_sum 'Rb2 Pd1 S1 Cl6'
_space_group_name_H-M_alt 'P 1'
_space_group_IT_number 1
_space_group_name_Hall 'P 1'
_cell_length_a 7.016
_cell_length_b 7.016
_cell_length_c 7.016
_cell_angle_alpha 114.83
_cell_angle_beta 114.83
_cell_angle_gamma 99.21
loop_
_atom_site_label
_atom_site_type_symbol
_atom_site_fract_x
_atom_site_fract_y
_atom_site_fract_z
Rb1 Rb 0.250 0.750 0.500
Rb2 Rb 0.750 0.250 0.500
Pd1 Pd 0.000 0.000 0.000
S1 S 0.500 0.500 0.000
Cl1 Cl 0.228 0.228 0.457
Cl2 Cl 0.228 0.772 0.000
Cl3 Cl 0.259 0.259 0.000
Cl4 Cl 0.741 0.741 0.000
Cl5 Cl 0.772 0.228 0.000
Cl6 Cl 0.772 0.772 0.543
```


(6)
The following is a DFT calculation (GGA-PBE) of a geometry-optimized Tb5PuIn3 structure.

For the formation energy, the calculation gives -3.0 eV per formula unit. The calculation puts the raw total energy at -97.31 eV per cell.

Geometry as CIF:
```
data_Tb5PuIn3
_chemical_formula_sum 'Tb10 Pu2 In6'
_space_group_name_H-M_alt 'P 1'
_space_group_IT_number 1
_space_group_name_Hall 'P 1'
_cell_length_a 9.364
_cell_length_b 9.364
_cell_length_c 6.665
_cell_angle_alpha 90.00
_cell_angle_beta 90.00
_cell_angle_gamma 120.00
loop_
_atom_site_label
_atom_site_type_symbol
_atom_site_fract_x
_atom_site_fract_y
_atom_site_fract_z
Tb1 Tb 0.000 0.317 0.250
Tb2 Tb 0.000 0.683 0.750
Tb3 Tb 0.317 0.000 0.250
Tb4 Tb 0.317 0.317 0.750
Tb5 Tb 0.333 0.667 0.000
Tb6 Tb 0.333 0.667 0.500
Tb7 Tb 0.667 0.333 0.000
Tb8 Tb 0.667 0.333 0.500
Tb9 Tb 0.683 0.000 0.750
Tb10 Tb 0.683 0.683 0.250
Pu1 Pu 0.000 0.000 0.000
Pu2 Pu 0.000 0.000 0.500
In1 In 0.000 0.348 0.750
In2 In 0.000 0.652 0.250
In3 In 0.348 0.000 0.750
In4 In 0.348 0.348 0.250
In5 In 0.652 0.000 0.250
In6 In 0.652 0.652 0.750
```


Question: Number 6 is which compound?
Answer: Tb5PuIn3